Entry 1:
Computed, not measured: a relaxed Be3Te crystal at the PBE-GGA level of DFT.

```
Be3Te
1.0
3.5682 0.0000 0.0000
0.0000 3.5681 0.0000
0.0000 0.0000 4.9341
Be Te
3 1
Direct
0.0000 0.0000 0.8944 Be
0.5000 0.0000 0.6324 Be
0.5000 0.5000 0.8944 Be
0.0000 0.5000 0.2454 Te
```

Calculated values
Energy relative to the lowest polymorph listed for this composition in eV/atom: 0.3528
Formation energy without anion corrections in eV per atom: 0.5592

***

Entry 2:
Computed, not measured: a relaxed Th4Tl3H2 crystal at the PBE-GGA level of DFT.

```
Th4Tl3H2
1.0
6.5511 0.4785 0.3426
0.9996 8.6011 0.1234
0.9996 2.8882 8.1027
Th Tl H
8 6 4
Direct
0.4596 0.8746 0.3496 Th
0.0404 0.6504 0.1254 Th
0.5404 0.1254 0.6504 Th
0.9596 0.3496 0.8746 Th
0.0716 0.2178 0.3906 Th
0.4284 0.6094 0.7822 Th
0.9284 0.7822 0.6094 Th
0.5716 0.3906 0.2178 Th
0.9289 0.0072 0.1971 Tl
0.5711 0.8029 0.9928 Tl
0.0711 0.9928 0.8029 Tl
0.4289 0.1971 0.0072 Tl
0.2500 0.5028 0.4972 Tl
0.7500 0.4972 0.5028 Tl
0.4334 0.1334 0.4040 H
0.0666 0.5960 0.8666 H
0.5666 0.8666 0.5960 H
0.9334 0.4040 0.1334 H
```

Calculated values
Total energy in Ry/atom: -0.369

***

Entry 3:
Computed, not measured: a relaxed K3PdCl5 crystal at the PBE-GGA level of DFT.

```
K3PdCl5
1.0
-6.1762 3.9948 1.3993
-1.6679 -4.9108 6.6583
4.4702 5.1805 4.9407
K Pd Cl
6 2 10
Direct
0.0000 0.0000 0.0000 K
0.0000 0.5000 0.5000 K
0.5000 0.3359 0.8359 K
0.5000 0.8359 0.6641 K
0.5000 0.1641 0.3359 K
0.5000 0.6641 0.1641 K
0.0000 0.5000 0.0000 Pd
0.0000 0.0000 0.5000 Pd
0.7829 0.1386 0.6386 Cl
0.7829 0.8614 0.3614 Cl
0.7829 0.3614 0.1386 Cl
0.7829 0.6386 0.8614 Cl
0.2171 0.1386 0.6386 Cl
0.2171 0.6386 0.8614 Cl
0.2171 0.3614 0.1386 Cl
0.2171 0.8614 0.3614 Cl
0.5000 0.0000 0.0000 Cl
0.5000 0.5000 0.5000 Cl
```

Calculated values
Formation energy without anion corrections in eV per atom: -1.4579

***

Entry 4:
Computed, not measured: a relaxed DyScIn2 crystal at the PBE-GGA level of DFT.

```
DyScIn2
1.0
3.5673 0.0000 0.0000
1.7837 3.0894 0.0000
1.7837 1.0298 9.5711
Sc In Dy
1 2 1
Direct
0.0000 0.0000 0.0000 Sc
0.7464 0.7464 0.7609 In
0.2536 0.2536 0.2391 In
0.5000 0.5000 0.5000 Dy
```

Calculated values
Energy relative to the elements in meV per atom: -292

***

Entry 5:
Computed, not measured: a relaxed ZrSc2Fe9 crystal at the PBE-GGA level of DFT.

```
ZrSc2Fe9
1.0
-3.3274 3.4798 -0.8707
-3.8196 -0.9406 -2.9094
-6.5693 -1.5850 5.0229
Zr Sc Fe
1 2 9
Direct
0.0000 0.0000 0.0000 Zr
0.8574 0.8574 0.4279 Sc
0.1426 0.1426 0.5721 Sc
0.6669 0.6669 0.9993 Fe
0.3331 0.3331 0.0007 Fe
0.5000 0.5000 0.5000 Fe
0.4151 0.4151 0.2510 Fe
0.9188 0.4151 0.2510 Fe
0.4151 0.9188 0.2510 Fe
0.5849 0.5849 0.7490 Fe
0.5849 0.0812 0.7490 Fe
0.0812 0.5849 0.7490 Fe
```

Calculated values
Energy relative to the elements in meV per atom: -187

***

Entry 6:
Computed, not measured: a relaxed Ta2MnPt crystal at the PBE-GGA level of DFT.

```
Ta2MnPt
1.0
4.4927 0.0000 0.0000
2.2464 3.8908 0.0000
2.2464 1.2969 3.6683
Mn Pt Ta
1 1 2
Direct
0.5000 0.5000 0.5000 Mn
0.7500 0.7500 0.7500 Pt
0.0000 0.0000 0.0000 Ta
0.2500 0.2500 0.2500 Ta
```

Calculated values
Energy relative to the elements in meV per atom: -162

***

Entry 7:
Computed, not measured: a relaxed TbY2Ga6 crystal at the PBE-GGA level of DFT.

```
TbY2Ga6
1.0
-3.4456 2.0991 0.9205
-3.7986 -6.2285 -0.0156
3.0922 2.3713 6.1676
Tb Y Ga
1 2 6
Direct
0.0000 0.0000 0.0000 Tb
0.0000 0.3333 0.6667 Y
0.0000 0.6667 0.3333 Y
0.5000 0.3333 0.3333 Ga
0.5000 0.6667 0.6667 Ga
0.5000 0.0000 0.6667 Ga
0.5000 0.6667 0.0000 Ga
0.5000 0.3333 0.0000 Ga
0.5000 0.0000 0.3333 Ga
```

Calculated values
Energy relative to the elements in meV per atom: -655
Energy relative to the lowest polymorph listed for this composition in eV/atom: 0.0000

***

Entry 8:
Computed, not measured: a relaxed Hf2GaPb crystal at the PBE-GGA level of DFT.

```
Hf2GaPb
1.0
-3.0576 -7.0703 0.0716
6.4033 -2.8020 -3.2388
2.8580 -5.4206 1.1787
Pb Hf Ga
2 4 2
Direct
0.0000 0.0000 0.0000 Pb
0.7500 0.2500 0.5000 Pb
0.6080 0.1250 0.2500 Hf
0.1420 0.6250 0.2500 Hf
0.3750 0.3920 0.7500 Hf
0.8750 0.8580 0.7500 Hf
0.5000 0.5000 0.0000 Ga
0.2500 0.7500 0.5000 Ga
```

Calculated values
Energy relative to the elements in meV per atom: 71
Energy relative to the lowest polymorph listed for this composition in eV/atom: 0.1742

***

Number 1: calculated volume 15.70 Å³/atom. Number 2: calculated volume 24.91 Å³/atom. Number 3: calculated volume 29.63 Å³/atom. Number 4: calculated volume 26.37 Å³/atom. Number 5: calculated volume 13.70 Å³/atom. Number 6: calculated volume 16.03 Å³/atom. Number 7: calculated volume 21.19 Å³/atom. Number 8: calculated volume 22.58 Å³/atom.